Record 1
# CuPtPb2 meta-GGA SCAN PBEsol geometry
data_CuPtPb2
_chemical_formula_sum 'Cu1 Pt1 Pb2'
_symmetry_space_group_name_H-M 'P 1'
_symmetry_Int_Tables_number 1
_cell_length_a 3.718
_cell_length_b 3.718
_cell_length_c 7.242
_cell_angle_alpha 109.01
_cell_angle_beta 109.01
_cell_angle_gamma 68.38
loop_
_symmetry_equiv_pos_as_xyz
'x,y,z'
loop_
_atom_site_label
_atom_site_fract_x
_atom_site_fract_y
_atom_site_fract_z
Cu1 0.000 0.000 0.000
Pt1 0.500 0.500 0.500
Pb1 0.253 0.253 0.751
Pb2 0.747 0.747 0.249
# energy above the most stable polymorph in this dataset = 0 meV per atom
# magnetization = 0.0 μB per formula unit
# symmetry = C2/m (12)
# Fermi-level density of states = 0.462 states/eV per atom
# total DFT energy (no corrections) = -59.084 eV per atom

=====

Record 2
# RbCu2Pb2 meta-GGA SCAN PBEsol geometry
data_RbCu2Pb2
_chemical_formula_sum 'Rb1 Cu2 Pb2'
_symmetry_space_group_name_H-M 'P 1'
_symmetry_Int_Tables_number 1
_cell_length_a 6.441
_cell_length_b 6.441
_cell_length_c 6.441
_cell_angle_alpha 136.39
_cell_angle_beta 136.39
_cell_angle_gamma 63.38
loop_
_symmetry_equiv_pos_as_xyz
'x,y,z'
loop_
_atom_site_label
_atom_site_fract_x
_atom_site_fract_y
_atom_site_fract_z
Rb1 0.000 0.000 0.000
Cu1 0.384 0.384 0.000
Cu2 0.616 0.616 0.000
Pb1 0.250 0.750 0.500
Pb2 0.750 0.250 0.500
# magnetization = 0.0 μB per formula unit
# symmetry = I4/mmm (139)
# Fermi-level density of states = 0.463 states/eV per atom
# total DFT energy (no corrections) = -40.379 eV per atom

=====

Record 3
# Cu2RePb meta-GGA SCAN PBEsol geometry
data_Cu2RePb
_chemical_formula_sum 'Cu2 Re1 Pb1'
_symmetry_space_group_name_H-M 'P 1'
_symmetry_Int_Tables_number 1
_cell_length_a 4.801
_cell_length_b 4.801
_cell_length_c 2.830
_cell_angle_alpha 90.00
_cell_angle_beta 90.00
_cell_angle_gamma 110.35
loop_
_symmetry_equiv_pos_as_xyz
'x,y,z'
loop_
_atom_site_label
_atom_site_fract_x
_atom_site_fract_y
_atom_site_fract_z
Cu1 0.000 0.500 0.000
Cu2 0.500 0.000 0.000
Re1 0.000 0.000 0.500
Pb1 0.500 0.500 0.500
# energy above the most stable polymorph in this dataset = 0 meV per atom
# magnetization = 0.0 μB per formula unit
# symmetry = Cmmm (65)
# Fermi-level density of states = 0.423 states/eV per atom
# total DFT energy (no corrections) = -43.620 eV per atom